[1]
Computed, not measured: a relaxed structure of CrIn2 at the PBE level of DFT.

abc: 5.901 5.901 5.901
angles: 60.00 60.00 60.00
Site moments in Bohr magnetons follow the coordinates.
Element x y z (fractional)
Cr 0.500 0.500 0.500  3.97
Cr 0.750 0.750 0.750  3.97
In 0.625 0.125 0.125  -0.04
In 0.125 0.625 0.125  -0.04
In 0.125 0.125 0.625  -0.04
In 0.125 0.125 0.125  -0.04

Computed properties:
- total DFT energy (no corrections) (eV/cell) = -26.11
- energy of formation from the pure elements (meV/atom) = 682
- total magnetic moment (μB/f.u.) = 4.39
- ρ (g cm⁻³) = 6.44


[2]
Computed, not measured: a relaxed structure of Cr2In at the PBE level of DFT.

abc: 4.276 4.276 2.765
angles: 90.00 90.00 120.00
Element x y z (fractional)
Cr 0.667 0.333 0.404
Cr 0.333 0.667 0.596
In 0.000 0.000 0.000

Computed properties:
- total DFT energy (no corrections) (eV/cell) = -20.56
- energy of formation from the pure elements (meV/atom) = 476
- total magnetic moment (μB/f.u.) = 0.00
- ρ (g cm⁻³) = 8.30


[3]
Computed, not measured: a relaxed structure of CrIn2 at the PBE level of DFT.

abc: 4.721 4.721 3.052
angles: 90.00 90.00 90.00
Site moments in Bohr magnetons follow the coordinates.
Element x y z (fractional)
Cr 0.000 0.000 0.500  2.88
In 0.500 0.000 0.000  -0.11
In 0.000 0.500 0.000  -0.11

Computed properties:
- total DFT energy (no corrections) (eV/cell) = -14.39
- energy of formation from the pure elements (meV/atom) = 237
- total magnetic moment (μB/f.u.) = 2.75
- ρ (g cm⁻³) = 6.87


Q: ρ of number 2 (Cr2In)?
A: 8.30 g cm⁻³


Q: The highest total magnetic moment belongs to which entry?
A: number 1


What did the second record say?
Computed, not measured: a relaxed structure of Cr2In at the PBE level of DFT.

abc: 4.276 4.276 2.765
angles: 90.00 90.00 120.00
Element x y z (fractional)
Cr 0.667 0.333 0.404
Cr 0.333 0.667 0.596
In 0.000 0.000 0.000

Computed properties:
- total DFT energy (no corrections) (eV/cell) = -20.56
- energy of formation from the pure elements (meV/atom) = 476
- total magnetic moment (μB/f.u.) = 0.00
- ρ (g cm⁻³) = 8.30